# PBE-GGA HfV3As, optimized geometry
# energy of formation from the pure elements	801	kJ/mol of formula units
# total magnetization	0.001	μB/atom
# total energy	-6.7317	eV per atom
# DOS(E_F)	8.9	states/eV per cell
# V	20.0	A^3/atom
data_HfV3As
_cell_length_a 4.6443
_cell_length_b 4.6443
_cell_length_c 4.6443
_cell_angle_alpha 90.00
_cell_angle_beta 90.00
_cell_angle_gamma 90.00
_space_group_name_H-M_alt 'P m -3 m'
_space_group_IT_number 221
_space_group_name_Hall '-P 4 2 3'
loop_
_atom_site_label
_atom_site_type_symbol
_atom_site_fract_x
_atom_site_fract_y
_atom_site_fract_z
_atom_site_occupancy
Hf1 Hf 0.0000 0.0000 0.0000 1
V1 V 0.0000 0.0000 0.5000 1
As1 As 0.5000 0.5000 0.5000 1